A plane-wave DFT calculation with GGA-PBE was carried out for a relaxed CoNi2Te5 crystal.

abc: 6.7374 6.7374 6.2279
angles: 111.22 111.22 60.39
Closest atoms and distances in Å follow each position.
Sites, in units of the cell vectors:
Co1 0.0000 0.0000 0.0000  5 Te 2.47-2.54, 1 Ni 2.49
Ni1 0.3760 0.3760 0.7702  5 Te 2.51-2.59
Ni2 0.9849 0.9849 0.3873  1 Co 2.49, 5 Te 2.52-2.62
Te1 0.0881 0.6046 0.0487  1 Co 2.54, 2 Ni 2.59-2.62
Te2 0.1983 0.1983 0.3641  1 Co 2.47, 2 Ni 2.51-2.55
Te3 0.2610 0.7828 0.7201  1 Co 2.47, 2 Ni 2.52-2.56
Te4 0.6046 0.0881 0.0487  1 Co 2.54, 2 Ni 2.59-2.62
Te5 0.7828 0.2610 0.7201  1 Co 2.47, 2 Ni 2.52-2.56

**E_form (uncorrected)**: -0.007 eV per atom
**Symmetry**: Cm
**Calculated total energy**: -34.44 eV for the cell shown
**Calculated volume**: 223.2 Å³/cell
**Total magnetization**: 0.00 μB/f.u.

A plane-wave DFT calculation with GGA-PBE was carried out for a relaxed B3PdN crystal.

abc: 4.0617 4.0617 4.0617
angles: 90.00 90.00 90.00
Closest atoms and distances in Å follow each position.
Sites, in units of the cell vectors:
B1 0.0000 0.0000 0.5000  2 Pd 2.03
B2 0.0000 0.5000 0.0000  2 Pd 2.03
B3 0.5000 0.0000 0.0000  2 Pd 2.03
Pd1 0.0000 0.0000 0.0000  6 B 2.03
N1 0.5000 0.5000 0.5000  12 B 2.87

**E_form (uncorrected)**: 2.200 eV per atom
**Symmetry**: Pm-3m
**Calculated total energy**: -22.55 eV for the cell shown
**Calculated volume**: 67.0 Å³/cell
**Total magnetization**: 2.00 μB/f.u.

So what do the calculations give for N(E_F)? Going down the list: 0.831, 0.339 states/eV per atom.